Here is Sr2YPaSe6 after structural relaxation from the Alexandria database. Energies are from GGA-PBE.

Its raw total energy is -115.98 eV/cell. Its energy relative to the elements, uncorrected is -1776 meV per atom. Its crystal system is monoclinic.

Cell and atoms, written as extended XYZ:
```
20
Lattice="-3.451 -0.194 -6.350 0.733 -7.784 -0.161 -9.309 -0.979 4.986" Properties=species:S:1:pos:R:3 pbc="T T T"
Sr -1.791 -7.342 0.905
Sr -8.406 -5.427 0.275
Sr -10.236 -1.615 -2.430
Sr -3.620 -3.530 -1.800
Y -1.725 -0.097 -3.175
Y -4.288 -4.381 2.412
Pa -6.380 -0.587 -0.682
Pa 0.366 -3.892 -0.080
Se -1.132 -5.479 -1.781
Se -7.422 -7.022 -2.483
Se -10.895 -3.478 0.256
Se -4.605 -1.934 0.958
Se -4.654 -5.910 0.033
Se -10.956 -7.330 -0.667
Se -7.372 -3.047 -1.558
Se -1.071 -1.626 -0.858
Se -4.941 -4.578 -4.438
Se -7.555 -8.314 1.160
Se -7.086 -4.378 2.914
Se -4.471 -0.642 -2.685
```

Here is Sr2PaZnSe5 after structural relaxation from the Alexandria database. Energies are from GGA-PBE.

Its raw total energy is -90.30 eV/cell. Its energy relative to the elements, uncorrected is -1511 meV per atom. Its crystal system is orthorhombic.

Cell and atoms, written as extended XYZ:
```
18
Lattice="-0.222 -4.073 -0.906 5.548 3.364 -6.845 10.422 -2.207 7.363" Properties=species:S:1:pos:R:3 pbc="T T T"
Sr 12.594 -2.843 0.053
Sr 8.356 -1.220 3.433
Sr 4.663 -0.394 0.625
Sr 6.059 -1.414 -4.763
Pa 8.522 -2.397 -0.949
Pa 2.421 0.498 -2.834
Zn 10.286 -3.952 5.604
Zn 9.366 0.208 -3.235
Se 3.951 0.930 -5.148
Se 10.997 -3.436 3.113
Se 13.470 -0.378 -1.608
Se 10.168 -0.705 0.675
Se 10.452 -2.043 -3.018
Se 6.737 -2.775 1.186
Se 7.154 0.011 -1.803
Se 2.726 -2.634 1.536
Se 3.929 -1.862 -2.230
Se 1.000 0.036 -0.405
```

Here is Pa2TaSe6 after structural relaxation from the Alexandria database. Energies are from GGA-PBE.

Its raw total energy is -61.72 eV/cell. Its energy relative to the elements, uncorrected is -1107 meV per atom. Its crystal system is monoclinic.

Cell and atoms, written as extended XYZ:
```
9
Lattice="3.860 0.000 -0.884 -0.505 7.947 -2.206 0.064 -0.303 9.146" Properties=species:S:1:pos:R:3 pbc="T T T"
Pa 2.950 5.254 4.008
Pa 0.469 2.390 2.048
Ta 1.930 0.000 -0.442
Se 0.905 7.173 3.948
Se 3.793 1.421 7.688
Se 2.334 4.422 1.320
Se -0.374 6.223 -1.632
Se 2.514 0.470 2.108
Se 1.085 3.221 4.736
```

Question: What is the energy relative to the elements, uncorrected in the second record?
Answer: -1511 meV per atom

Question: What is the formula in the third record?
Answer: Pa2TaSe6